# Hf2CrB2 SCAN single point on PBEsol structure
data_Hf2CrB2
_chemical_formula_sum 'Hf4 Cr2 B4'
_space_group_name_H-M_alt 'P 4/m b m'
_space_group_IT_number 127
_space_group_name_Hall '-P 4 2ab'
_cell_length_a 6.078
_cell_length_b 6.078
_cell_length_c 3.325
_cell_angle_alpha 90.00
_cell_angle_beta 90.00
_cell_angle_gamma 90.00
loop_
_atom_site_label
_atom_site_type_symbol
_atom_site_fract_x
_atom_site_fract_y
_atom_site_fract_z
Hf1 Hf 0.185 0.315 0.000
Cr1 Cr 0.000 0.000 0.500
B1 B 0.106 0.606 0.500
# **Volume**: 122.8 Å³/cell
# **N(E_F)**: 0.66 states/eV per atom
# **Uncorrected energy**: -32.330 eV per atom
# **Magnetic moment**: 0.290 μB per atom
# **DFT formation energy**: -611.7 meV/atom

***

# Ba2UZnO6 SCAN single point on PBEsol structure
data_Ba2UZnO6
_chemical_formula_sum 'Ba8 U4 Zn4 O24'
_space_group_name_H-M_alt 'F m -3 m'
_space_group_IT_number 225
_space_group_name_Hall '-F 4 2 3'
_cell_length_a 8.370
_cell_length_b 8.370
_cell_length_c 8.370
_cell_angle_alpha 90.00
_cell_angle_beta 90.00
_cell_angle_gamma 90.00
loop_
_atom_site_label
_atom_site_type_symbol
_atom_site_fract_x
_atom_site_fract_y
_atom_site_fract_z
Ba1 Ba 0.250 0.250 0.250
U1 U 0.000 0.000 0.000
Zn1 Zn 0.000 0.000 0.500
O1 O 0.000 0.000 0.248
# **Volume**: 586.4 Å³/cell
# **N(E_F)**: 0.00 states/eV per atom
# **Uncorrected energy**: -26.368 eV per atom
# **Magnetic moment**: 0.000 μB per atom